No. 1
The following is a DFT calculation (PBE) of Pr5SmY5 after structural relaxation.

It has space group C2/m (No. 12), with a = 18.758 Å, b = 6.143 Å, c = 7.035 Å, α = 90.00°, β = 108.21° and γ = 90.00°. Symmetry generates all atoms from Pr at (0.000, 0.000, 0.000), Pr at (0.126, 0.500, 0.149), Pr at (0.173, 0.500, 0.693), Sm at (0.000, 0.000, 0.500), Y at (0.000, 0.500, 0.500), Y at (0.173, 0.000, 0.420) and Y at (0.178, 0.000, 0.915).

For the energy relative to the lowest polymorph listed for this composition, the calculation gives 0 meV/atom. The total magnetization comes out at 1.53 Bohr magnetons per cell. The energy relative to the elements comes out at 2.8 eV per formula unit. The calculation puts the total energy at -116.360 eV/cell.



No. 2
The following is a DFT calculation (PBE) of Pr5Sm2Y2 after structural relaxation.

It has space group Ima2 (No. 46), with a = 15.181 Å, b = 12.017 Å, c = 6.917 Å, α = 90.00°, β = 90.00° and γ = 90.00°. Symmetry generates all atoms from Pr at (0.051, 0.238, 0.000), Pr at (0.144, 0.728, 0.668), Pr at (0.250, 0.238, 0.686), Sm at (0.000, 0.000, 0.340), Sm at (0.250, 0.503, 0.877) and Y at (0.127, 0.508, 0.332).

For the energy relative to the lowest polymorph listed for this composition, the calculation gives 186 meV/atom. The total magnetization comes out at 0.00 Bohr magnetons per cell. The energy relative to the elements comes out at 1.8 eV per formula unit. The calculation puts the total energy at -177.837 eV/cell.



No. 3
The following is a DFT calculation (PBE) of Pr4Sm15Y after structural relaxation.

It has space group P4/mmm (No. 123), with a = 5.158 Å, b = 5.158 Å, c = 25.744 Å, α = 90.00°, β = 90.00° and γ = 90.00°. Symmetry generates all atoms from Pr at (0.000, 0.000, 0.100), Pr at (0.000, 0.000, 0.301), Sm at (0.000, 0.500, 0.000), Sm at (0.000, 0.500, 0.201), Sm at (0.000, 0.500, 0.401), Sm at (0.500, 0.500, 0.100), Sm at (0.500, 0.500, 0.301), Sm at (0.500, 0.500, 0.500) and Y at (0.000, 0.000, 0.500).

The total magnetization comes out at 0.00 Bohr magnetons per cell. The energy relative to the elements comes out at 0.3 eV per formula unit. The calculation puts the total energy at -96.050 eV/cell.



No. 4
The following is a DFT calculation (PBE) of PrSm3Y4 after structural relaxation.

It has space group P2/m (No. 10), with a = 6.257 Å, b = 3.618 Å, c = 11.910 Å, α = 90.00°, β = 100.18° and γ = 90.00°. Symmetry generates all atoms from Pr at (0.000, 0.000, 0.000), Sm at (0.000, 0.500, 0.500), Sm at (0.500, 0.000, 0.500), Sm at (0.500, 0.500, 0.000), Y at (0.249, 0.000, 0.749) and Y at (0.251, 0.500, 0.251).

For the energy relative to the lowest polymorph listed for this composition, the calculation gives 0 meV/atom. The total magnetization comes out at 0.00 Bohr magnetons per cell. The energy relative to the elements comes out at 0.1 eV per formula unit. The calculation puts the total energy at -44.678 eV/cell.



> Look up the total magnetization of the second one.

0.00 Bohr magnetons per cell



> Look up the energy relative to the elements of the fourth one.

0.1 eV per formula unit



Repeat the second record exactly.
The following is a DFT calculation (PBE) of Pr5Sm2Y2 after structural relaxation.

It has space group Ima2 (No. 46), with a = 15.181 Å, b = 12.017 Å, c = 6.917 Å, α = 90.00°, β = 90.00° and γ = 90.00°. Symmetry generates all atoms from Pr at (0.051, 0.238, 0.000), Pr at (0.144, 0.728, 0.668), Pr at (0.250, 0.238, 0.686), Sm at (0.000, 0.000, 0.340), Sm at (0.250, 0.503, 0.877) and Y at (0.127, 0.508, 0.332).

For the energy relative to the lowest polymorph listed for this composition, the calculation gives 186 meV/atom. The total magnetization comes out at 0.00 Bohr magnetons per cell. The energy relative to the elements comes out at 1.8 eV per formula unit. The calculation puts the total energy at -177.837 eV/cell.



Copy entry 2 word for word.
The following is a DFT calculation (PBE) of Pr5Sm2Y2 after structural relaxation.

It has space group Ima2 (No. 46), with a = 15.181 Å, b = 12.017 Å, c = 6.917 Å, α = 90.00°, β = 90.00° and γ = 90.00°. Symmetry generates all atoms from Pr at (0.051, 0.238, 0.000), Pr at (0.144, 0.728, 0.668), Pr at (0.250, 0.238, 0.686), Sm at (0.000, 0.000, 0.340), Sm at (0.250, 0.503, 0.877) and Y at (0.127, 0.508, 0.332).

For the energy relative to the lowest polymorph listed for this composition, the calculation gives 186 meV/atom. The total magnetization comes out at 0.00 Bohr magnetons per cell. The energy relative to the elements comes out at 1.8 eV per formula unit. The calculation puts the total energy at -177.837 eV/cell.